{"formula": "Ta3VCu", "functional": "PBE-GGA", "state": "relaxed", "formation_enthalpy_0k_ev_per_atom": 1.3291, "e_tot_ev_per_fu": -42.127, "lattice_angstrom": [[4.612, 0.000, 0.000], [0.000, 4.612, 0.000], [0.000, 0.000, 4.612]], "species": ["Ta", "Ta", "Ta", "Cu", "V"], "frac_coords": [[0.000, 0.500, 0.000], [0.000, 0.000, 0.500], [0.500, 0.000, 0.000], [0.500, 0.500, 0.500], [0.000, 0.000, 0.000]]}